The following is a DFT calculation (PBE) of a geometry-optimized LaPmGeRu structure.

a b c (Å): 4.484 4.391 5.488
angles (deg): 90.00 114.11 90.00
Atoms (fractional coordinates):
La: 0.163 0.000 0.326
Pm: 0.864 0.500 0.727
Ge: 0.562 0.500 0.123
Ru: 0.412 0.000 0.823

Summary:
- DFT total energy: -0.47486 Ry/atom
- Theoretical density: 7.71 g/cm3
- ΔH_f (0 K): -0.568 eV per atom
- Space group: No. 38
- Energy relative to the lowest polymorph listed for this composition: 0 meV/atom



The following is a DFT calculation (PBE) of a geometry-optimized LaPmGeRu structure.

a b c (Å): 5.128 5.128 5.128
angles (deg): 60.00 60.00 60.00
Atoms (fractional coordinates):
Ru: 0.250 0.250 0.250
Ge: 0.750 0.750 0.750
La: 0.000 0.000 0.000
Pm: 0.500 0.500 0.500

Summary:
- DFT total energy: -0.45802 Ry/atom
- Theoretical density: 7.97 g/cm3
- ΔH_f (0 K): -0.339 eV per atom
- Space group: No. 216
- Energy relative to the lowest polymorph listed for this composition: 229 meV/atom



The following is a DFT calculation (PBE) of a geometry-optimized LaPmTlGe structure.

a b c (Å): 5.410 5.410 5.410
angles (deg): 60.00 60.00 60.00
Atoms (fractional coordinates):
Tl: 0.750 0.750 0.750
La: 0.500 0.500 0.500
Ge: 0.250 0.250 0.250
Pm: 0.000 0.000 0.000

Summary:
- DFT total energy: -0.34158 Ry/atom
- Theoretical density: 8.32 g/cm3
- ΔH_f (0 K): -0.482 eV per atom
- Space group: No. 216



The following is a DFT calculation (PBE) of a geometry-optimized LaPm2Zn2Ge2 structure.

a b c (Å): 4.217 4.217 11.882
angles (deg): 79.78 79.78 60.00
Last column: magnetic moment on the atom in μB.
Atoms (fractional coordinates):
La: 0.000 0.000 0.000  0.03
Pm: 0.123 0.123 0.630  0.19
Pm: 0.877 0.877 0.370  0.19
Zn: 0.601 0.601 0.198  0.01
Zn: 0.399 0.399 0.802  0.01
Ge: 0.729 0.729 0.814  0.00
Ge: 0.271 0.271 0.186  0.00

Summary:
- DFT total energy: -0.31151 Ry/atom
- Theoretical density: 6.54 g/cm3
- ΔH_f (0 K): -0.494 eV per atom
- Space group: No. 166



The following is a DFT calculation (PBE) of a geometry-optimized LaPmZn2Ge2 structure.

a b c (Å): 4.261 4.261 8.583
angles (deg): 90.00 90.00 120.00
Atoms (fractional coordinates):
La: 0.000 0.000 0.000
Pm: 0.000 0.000 0.500
Zn: 0.667 0.333 0.257
Zn: 0.333 0.667 0.743
Ge: 0.667 0.333 0.744
Ge: 0.333 0.667 0.256

Summary:
- DFT total energy: -0.31331 Ry/atom
- Theoretical density: 6.89 g/cm3
- ΔH_f (0 K): -0.686 eV per atom
- Space group: No. 164



The following is a DFT calculation (PBE) of a geometry-optimized La2PmZn2Ge2 structure.

a b c (Å): 4.221 4.221 12.070
angles (deg): 79.93 79.93 60.00
Last column: magnetic moment on the atom in μB.
Atoms (fractional coordinates):
La: 0.120 0.120 0.639  0.17
La: 0.880 0.880 0.361  0.17
Pm: 0.000 0.000 0.000  0.00
Zn: 0.606 0.606 0.183  0.00
Zn: 0.394 0.394 0.817  0.00
Ge: 0.725 0.725 0.825  0.01
Ge: 0.275 0.275 0.175  0.01

Summary:
- DFT total energy: -0.31490 Ry/atom
- Theoretical density: 6.36 g/cm3
- ΔH_f (0 K): -0.515 eV per atom
- Space group: No. 166



The following is a DFT calculation (PBE) of a geometry-optimized LaPmZnGe structure.

a b c (Å): 5.229 5.229 5.229
angles (deg): 60.00 60.00 60.00
Atoms (fractional coordinates):
Ge: 0.250 0.250 0.250
La: 0.500 0.500 0.500
Zn: 0.750 0.750 0.750
Pm: 0.000 0.000 0.000

Summary:
- DFT total energy: -0.32544 Ry/atom
- Theoretical density: 6.93 g/cm3
- ΔH_f (0 K): -0.535 eV per atom
- Space group: No. 216
- Energy relative to the lowest polymorph listed for this composition: 52 meV/atom



The following is a DFT calculation (PBE) of a geometry-optimized LaPmZnGe structure.

a b c (Å): 4.363 4.200 6.123
angles (deg): 90.00 110.87 90.00
Atoms (fractional coordinates):
La: 0.146 0.000 0.292
Pm: 0.861 0.500 0.721
Zn: 0.567 0.500 0.133
Ge: 0.426 0.000 0.853

Summary:
- DFT total energy: -0.32928 Ry/atom
- Theoretical density: 6.68 g/cm3
- ΔH_f (0 K): -0.588 eV per atom
- Space group: No. 38
- Energy relative to the lowest polymorph listed for this composition: 0 meV/atom



The following is a DFT calculation (PBE) of a geometry-optimized LaPr3Ge2 structure.

a b c (Å): 4.542 10.320 9.619
angles (deg): 124.74 90.00 102.71
Atoms (fractional coordinates):
La: 0.884 0.769 0.901
La: 0.116 0.231 0.099
Pr: 0.309 0.618 0.503
Pr: 0.951 0.902 0.597
Pr: 0.651 0.303 0.829
Pr: 0.349 0.697 0.171
Pr: 0.049 0.098 0.403
Pr: 0.691 0.382 0.497
Ge: 0.492 0.984 0.852
Ge: 0.508 0.016 0.148
Ge: 0.762 0.524 0.236
Ge: 0.238 0.476 0.764

Summary:
- DFT total energy: -0.39081 Ry/atom
- Theoretical density: 6.58 g/cm3
- ΔH_f (0 K): -0.567 eV per atom
- Space group: No. 12
- Energy relative to the lowest polymorph listed for this composition: 0 meV/atom



The following is a DFT calculation (PBE) of a geometry-optimized La3PrGe2 structure.

a b c (Å): 4.603 4.664 9.090
angles (deg): 104.87 104.69 90.01
Atoms (fractional coordinates):
La: 0.500 0.500 0.000
La: 0.817 0.317 0.635
La: 0.183 0.683 0.365
Pr: 0.000 0.000 0.000
Ge: 0.366 0.866 0.732
Ge: 0.634 0.134 0.268

Summary:
- DFT total energy: -0.39725 Ry/atom
- Theoretical density: 6.41 g/cm3
- ΔH_f (0 K): -0.605 eV per atom
- Space group: No. 71
- Energy relative to the lowest polymorph listed for this composition: 0 meV/atom



The following is a DFT calculation (PBE) of a geometry-optimized La4PrGe4 structure.

a b c (Å): 6.252 9.328 9.328
angles (deg): 90.00 90.00 90.00
Atoms (fractional coordinates):
La: 0.367 0.296 0.920
La: 0.867 0.580 0.796
La: 0.367 0.704 0.080
La: 0.133 0.204 0.580
La: 0.633 0.920 0.704
La: 0.133 0.796 0.420
La: 0.867 0.420 0.204
La: 0.633 0.080 0.296
Pr: 0.000 0.000 0.000
Pr: 0.500 0.500 0.500
Ge: 0.644 0.769 0.376
Ge: 0.644 0.231 0.624
Ge: 0.144 0.876 0.731
Ge: 0.856 0.269 0.876
Ge: 0.856 0.731 0.124
Ge: 0.356 0.376 0.231
Ge: 0.356 0.624 0.769
Ge: 0.144 0.124 0.269

Summary:
- DFT total energy: -0.39505 Ry/atom
- Theoretical density: 6.03 g/cm3
- ΔH_f (0 K): -0.602 eV per atom
- Space group: No. 86



The following is a DFT calculation (PBE) of a geometry-optimized La5Pr5Ge6 structure.

a b c (Å): 6.855 8.974 8.974
angles (deg): 119.91 90.00 90.00
Atoms (fractional coordinates):
La: 0.000 0.752 0.000
La: 0.000 0.000 0.752
La: 0.500 0.752 0.752
La: 0.500 0.248 0.001
La: 0.500 0.001 0.248
Pr: 0.751 0.333 0.666
Pr: 0.751 0.666 0.333
Pr: 0.249 0.666 0.333
Pr: 0.249 0.333 0.666
Pr: 0.000 0.249 0.249
Ge: 0.000 0.606 0.606
Ge: 0.000 0.392 0.001
Ge: 0.000 0.001 0.392
Ge: 0.500 0.394 0.394
Ge: 0.500 0.607 0.000
Ge: 0.500 0.000 0.607

Summary:
- DFT total energy: -0.40092 Ry/atom
- Theoretical density: 6.37 g/cm3
- ΔH_f (0 K): -0.690 eV per atom
- Space group: No. 38